First-principles (PBEsol) data for an optimized crystal structure of LiLaRu2, as listed in the Alexandria database.

It has space group Pmmm (No. 47), with a = 2.8345 Å, b = 4.0916 Å, c = 5.9312 Å, α = 90.00°, β = 90.00° and γ = 90.00°. The inequivalent atoms are Li at (0.0000, 0.0000, 0.0000), La at (0.0000, 0.0000, 0.5000) and Ru at (0.5000, 0.5000, 0.1978).

As for the energy above the lowest structure with this stoichiometry: 76.7 meV/atom. The calculation puts the size of the total moment at 0.0000 μB per atom. For the formation enthalpy at 0 K, the calculation gives 0.391 eV per atom. Its density of states at the Fermi level is 4.9 states/eV per cell.